*w*
First-principles (PBE) data for a relaxed structure of RbMg6Ni, as listed in Alexandria via LeMat-Bulk.

abc: 9.3636 9.3636 4.7049
angles: 90.00 90.00 143.59
Closest atoms and distances in Å follow each position.
Sites, in units of the cell vectors:
Mg1 0.8142 0.6579 0.0000  2 Ni 2.74, 5 Mg 2.76-3.05
Mg2 0.4039 0.5961 0.0000  4 Mg 3.01
Mg3 0.1368 0.8632 0.5000  6 Mg 3.00-3.31, 2 Ni 3.03
Mg4 0.7216 0.7828 0.5000  1 Ni 2.63, 1 Mg 2.90
Mg5 0.3421 0.1858 0.0000  2 Ni 2.74, 5 Mg 2.76-3.05
Mg6 0.2172 0.2784 0.5000  1 Ni 2.63, 1 Mg 2.90
Rb1 0.7721 0.2279 0.0000  4 Mg 3.72-3.75, 2 Ni 3.98
Ni1 0.5920 0.4080 0.5000  6 Mg 2.63-2.74

total moment = 0.00 μB/f.u.
space-group type = Amm2, No. 38

=====

*x*
First-principles (PBE) data for a relaxed structure of RbMg6Ni, as listed in Alexandria via LeMat-Bulk.

abc: 8.5581 8.5581 3.8461
angles: 90.00 90.00 126.61
Closest atoms and distances in Å follow each position.
Sites, in units of the cell vectors:
Mg1 0.3672 0.2429 0.5000  1 Ni 2.67
Mg2 0.7571 0.6328 0.5000  1 Ni 2.67
Mg3 0.7095 0.2905 0.0000  6 Mg 3.32-3.37
Mg4 0.0959 0.2777 0.0000  2 Ni 2.62, 1 Mg 2.87
Mg5 0.0861 0.9139 0.0000  2 Ni 2.53
Mg6 0.7223 0.9041 0.0000  2 Ni 2.62, 1 Mg 2.87
Rb1 0.2838 0.7162 0.5000  6 Mg 3.58-3.63, 2 Rb 3.85
Ni1 0.9782 0.0218 0.5000  8 Mg 2.53-2.67

total moment = 0.00 μB/f.u.
space-group type = Amm2, No. 38

=====

How far above the most stable structure does each one sit? In meV/atom: *w* 13; *x* 0.

=====

*w*
First-principles (PBE) data for a relaxed structure of RbMg3Ni, as listed in Alexandria via LeMat-Bulk.

abc: 5.1261 5.1261 5.1261
angles: 90.00 90.00 90.00
Closest atoms and distances in Å follow each position.
Sites, in units of the cell vectors:
Mg1 0.5000 0.0000 0.0000  2 Ni 2.56
Mg2 0.0000 0.0000 0.5000  2 Ni 2.56
Mg3 0.0000 0.5000 0.0000  2 Ni 2.56
Rb1 0.5000 0.5000 0.5000  12 Mg 3.62
Ni1 0.0000 0.0000 0.0000  6 Mg 2.56

total moment = 0.00 μB/f.u.
space-group type = Pm-3m, No. 221

=====

*x*
First-principles (PBE) data for a relaxed structure of RbMg3Ni, as listed in Alexandria via LeMat-Bulk.

abc: 6.9990 6.9990 6.9990
angles: 90.00 90.00 90.00
Closest atoms and distances in Å follow each position.
Sites, in units of the cell vectors:
Mg1 0.0000 0.5000 0.0000  2 Rb 3.50
Mg2 0.5000 0.0000 0.0000  2 Rb 3.50
Mg3 0.0000 0.0000 0.5000  2 Rb 3.50
Rb1 0.0000 0.0000 0.0000  6 Mg 3.50
Ni1 0.5000 0.5000 0.5000  12 Mg 4.95

total moment = 1.09 μB/f.u.
space-group type = Pm-3m, No. 221

=====

How far above the most stable structure does each one sit? In meV/atom: *w* 0; *x* 1521.

=====

*w*
First-principles (PBE) data for a relaxed structure of Mg2ReNi, as listed in Alexandria via LeMat-Bulk.

abc: 2.6859 2.6859 8.4764
angles: 90.00 90.00 100.06
Closest atoms and distances in Å follow each position.
Sites, in units of the cell vectors:
Ni1 0.5000 0.5000 0.2500  8 Mg 2.60-2.83, 4 Ni 2.69
Mg1 0.0000 0.0000 0.4788  4 Ni 2.60-2.83, 4 Mg 2.69, 2 Re 2.87
Mg2 0.0000 0.0000 0.0212  4 Ni 2.60-2.83, 4 Mg 2.69, 2 Re 2.87
Re1 0.5000 0.5000 0.7500  4 Re 2.69, 4 Mg 2.87

total moment = 0.00 μB/f.u.
space-group type = Cmmm, No. 65

=====

*x*
First-principles (PBE) data for a relaxed structure of Mg2ReNi, as listed in Alexandria via LeMat-Bulk.

abc: 4.7931 4.7931 4.7931
angles: 131.30 131.30 71.33
Closest atoms and distances in Å follow each position.
Sites, in units of the cell vectors:
Mg1 0.0000 0.0000 0.0000  4 Re 2.77, 4 Mg 2.77, 4 Ni 2.79
Mg2 0.2500 0.7500 0.5000  4 Mg 2.77, 4 Ni 2.77, 4 Re 2.79
Re1 0.7500 0.2500 0.5000  4 Ni 2.77, 8 Mg 2.77-2.79
Ni1 0.5000 0.5000 0.0000  4 Re 2.77, 8 Mg 2.77-2.79

total moment = 0.73 μB/f.u.
space-group type = I-4m2, No. 119

=====

*y*
First-principles (PBE) data for a relaxed structure of Mg2ReNi, as listed in Alexandria via LeMat-Bulk.

abc: 9.1118 9.1118 9.1118
angles: 17.71 17.71 17.71
Closest atoms and distances in Å follow each position.
Sites, in units of the cell vectors:
Re1 0.7500 0.7500 0.7500  6 Re 2.81, 6 Mg 2.88
Mg1 0.9950 0.9950 0.9950  3 Ni 2.66, 6 Mg 2.81, 3 Re 2.88
Mg2 0.5050 0.5050 0.5050  3 Ni 2.66, 6 Mg 2.81, 3 Re 2.88
Ni1 0.2500 0.2500 0.2500  6 Mg 2.66, 6 Ni 2.81

total moment = 0.00 μB/f.u.
space-group type = R-3m, No. 166

=====

*z*
First-principles (PBE) data for a relaxed structure of Mg2ReNi, as listed in Alexandria via LeMat-Bulk.

abc: 4.9396 4.9396 4.9396
angles: 134.36 134.36 66.52
Closest atoms and distances in Å follow each position.
Sites, in units of the cell vectors:
Ni1 0.2500 0.7500 0.5000  4 Re 2.71, 8 Mg 2.82
Mg1 0.0000 0.0000 0.0000  4 Mg 2.71, 4 Ni 2.82, 4 Re 2.82
Mg2 0.5000 0.5000 0.0000  4 Mg 2.71, 4 Re 2.82, 4 Ni 2.82
Re1 0.7500 0.2500 0.5000  4 Ni 2.71, 8 Mg 2.82

total moment = 0.90 μB/f.u.
space-group type = I4/mmm, No. 139

=====

How far above the most stable structure does each one sit? In meV/atom: *w* 0; *x* 263; *y* 63; *z* 241.

=====

*w*
First-principles (PBE) data for a relaxed structure of Mg2ReNi, as listed in Alexandria via LeMat-Bulk.

abc: 7.0788 7.0788 5.6355
angles: 51.09 51.09 90.00
Closest atoms and distances in Å follow each position.
Sites, in units of the cell vectors:
Mg1 0.8750 0.8414 0.7500  2 Ni 2.43, 2 Mg 2.63
Mg2 0.1586 0.6250 0.2500  2 Ni 2.43, 2 Mg 2.63
Mg3 0.3750 0.4086 0.7500  2 Ni 2.43, 2 Mg 2.63
Mg4 0.5914 0.1250 0.2500  2 Ni 2.43, 2 Mg 2.63
Re1 0.0000 0.0000 0.0000  2 Ni 2.59, 4 Mg 2.75
Re2 0.7500 0.2500 0.5000  2 Ni 2.59, 4 Mg 2.75
Ni1 0.2500 0.7500 0.5000  4 Mg 2.43, 2 Re 2.59
Ni2 0.5000 0.5000 0.0000  4 Mg 2.43, 2 Re 2.59

total moment = 0.00 μB/f.u.
space-group type = I-42d, No. 122

=====

*x*
First-principles (PBE) data for a relaxed structure of Mg2ReNi, as listed in Alexandria via LeMat-Bulk.

abc: 4.3858 2.6615 5.2469
angles: 80.26 90.00 90.00
Closest atoms and distances in Å follow each position.
Sites, in units of the cell vectors:
Re1 0.5000 0.7500 0.7500  2 Re 2.66, 2 Ni 2.73, 4 Mg 2.76
Mg1 0.0000 0.4451 0.4960  2 Ni 2.64, 5 Mg 2.66-2.94, 2 Re 2.76
Mg2 0.0000 0.0549 0.0040  2 Ni 2.64, 5 Mg 2.66-2.94, 2 Re 2.76
Ni1 0.5000 0.2500 0.2500  4 Mg 2.64, 2 Ni 2.66, 2 Re 2.73

total moment = 0.00 μB/f.u.
space-group type = P2/m, No. 10

=====

How far above the most stable structure does each one sit? In meV/atom: *w* 491; *x* 0.